No. 1
## Rb2PSeCl5 (PBE)

Data for crystalline Rb2PSeCl5 at its relaxed geometry.

Cell: 7.228 7.228 7.228 Å, 120.18 120.18 89.68°
Sites, in units of the cell vectors:
Rb 0.000 0.500 0.500
Rb 0.500 0.000 0.500
P 0.234 0.234 0.000
Se 0.015 0.015 0.000
Cl 0.032 0.032 0.557
Cl 0.032 0.475 0.000
Cl 0.458 0.458 0.000
Cl 0.475 0.032 0.000
Cl 0.475 0.475 0.443

formation energy from raw total energies = -0.986 eV/atom
spin magnetization = 0.0 Bohr magnetons per cell
symmetry = No. 107

No. 2
## SrLiW2 (PBE)

Data for crystalline SrLiW2 at its relaxed geometry.

Cell: 11.380 11.380 11.380 Å, 160.60 160.60 27.57°
Sites, in units of the cell vectors:
Sr 0.000 0.000 0.000
Sr 0.750 0.250 0.500
Li 0.250 0.750 0.500
Li 0.500 0.500 0.000
W 0.136 0.625 0.011
W 0.375 0.386 0.511
W 0.614 0.125 0.989
W 0.875 0.864 0.489

spin magnetization = 0.0 Bohr magnetons per cell
symmetry = No. 122
excess energy over the best structure of this formula in the dataset = 0.5405 eV/atom

No. 3
## CdCo2Ir (PBE)

Data for crystalline CdCo2Ir at its relaxed geometry.

Cell: 4.768 4.768 4.768 Å, 133.16 133.16 68.41°
Sites, in units of the cell vectors:
Cd 0.000 0.000 0.000
Co 0.250 0.750 0.500
Co 0.500 0.500 0.000
Ir 0.750 0.250 0.500

spin magnetization = 4.0 Bohr magnetons per cell
symmetry = No. 119
uncorrected energy = -5.67 eV/atom

No. 4
## BeRhW2 (PBE)

Data for crystalline BeRhW2 at its relaxed geometry.

Cell: 4.325 4.325 4.325 Å, 60.00 60.00 60.00°
Sites, in units of the cell vectors:
Be 0.000 0.000 0.000
Rh 0.250 0.250 0.250
W 0.500 0.500 0.500
W 0.750 0.750 0.750

spin magnetization = 0.0 Bohr magnetons per cell
symmetry = No. 216
uncorrected energy = -9.08 eV/atom